No. 1
Crystalline LiCr2SbMo at its relaxed geometry, computed with PBE-GGA.

## Properties
Total moment   0.5122 μB/atom
ΔE_f (raw)   1.76 eV per atom
Total energy   -5.4583 eV per atom

a = 4.6983 Å, b = 4.6983 Å, c = 4.3628 Å
α = 90.00°, β = 90.00°, γ = 90.00°
Last column: nearest neighbours and their distance in Å.
Space group P4/mmm (No. 123)
One atom of each set of equivalent atoms:
Li (0.0000, 0.0000, 0.0000) x1  2 Sb 2.18
Cr (0.0000, 0.5000, 0.5000) x2  2 Sb 2.35
Sb (0.0000, 0.0000, 0.5000) x1  2 Li 2.18, 4 Cr 2.35
Mo (0.5000, 0.5000, 0.0000) x1  8 Cr 3.21, 4 Li 3.32

---

No. 2
Crystalline LiScCr2Mo at its relaxed geometry, computed with PBE-GGA.

## Properties
Total moment   0.0001 μB/atom
Energy of formation from the pure elements   949 kJ/mol of formula units
Total energy   -5.6967 eV per atom

a = 4.3779 Å, b = 4.3779 Å, c = 4.7031 Å
α = 90.00°, β = 90.00°, γ = 90.00°
Last column: nearest neighbours and their distance in Å.
Space group P4/mmm (No. 123)
One atom of each set of equivalent atoms:
Li (0.0000, 0.0000, 0.0000) x1  4 Mo 3.10, 8 Cr 3.21
Sc (0.5000, 0.5000, 0.5000) x1  4 Cr 2.19, 2 Mo 2.35
Cr (0.0000, 0.5000, 0.5000) x2  2 Sc 2.19
Mo (0.5000, 0.5000, 0.0000) x1  2 Sc 2.35

---

No. 3
Crystalline LiCrSnMo2 at its relaxed geometry, computed with PBE-GGA.

## Properties
Total moment   0.1622 μB/atom
Energy of formation from the pure elements   488 kJ/mol of formula units
Total energy   -6.4295 eV per atom

a = 4.5211 Å, b = 4.5211 Å, c = 4.9653 Å
α = 90.00°, β = 90.00°, γ = 90.00°
Last column: nearest neighbours and their distance in Å.
Space group P4/mmm (No. 123)
One atom of each set of equivalent atoms:
Li (0.0000, 0.0000, 0.0000) x1  4 Sn 3.20, 8 Mo 3.36
Cr (0.5000, 0.5000, 0.5000) x1  4 Mo 2.26, 2 Sn 2.48
Sn (0.5000, 0.5000, 0.0000) x1  2 Cr 2.48
Mo (0.0000, 0.5000, 0.5000) x2  2 Cr 2.26

---

No. 4
Crystalline SrLi2CrMo at its relaxed geometry, computed with PBE-GGA.

## Properties
Total moment   0.0036 μB/atom
Energy of formation from the pure elements   1022 kJ/mol of formula units
Total energy   -3.0747 eV per atom

a = 4.2572 Å, b = 4.2572 Å, c = 5.0395 Å
α = 90.00°, β = 90.00°, γ = 90.00°
Last column: nearest neighbours and their distance in Å.
Space group P4/mmm (No. 123)
One atom of each set of equivalent atoms:
Sr (0.0000, 0.0000, 0.0000) x1  4 Li 2.13
Li (0.0000, 0.5000, 0.0000) x2  2 Sr 2.13
Cr (0.5000, 0.5000, 0.5000) x1  4 Mo 3.01, 8 Li 3.30
Mo (0.0000, 0.0000, 0.5000) x1  2 Sr 2.52

---

No. 5
Crystalline LiTa2CrMo at its relaxed geometry, computed with PBE-GGA.

## Properties
Total moment   0.0000 μB/atom
Energy of formation from the pure elements   512 kJ/mol of formula units
Total energy   -8.1529 eV per atom

a = 4.6809 Å, b = 4.6809 Å, c = 4.4353 Å
α = 90.00°, β = 90.00°, γ = 90.00°
Last column: nearest neighbours and their distance in Å.
Space group P4/mmm (No. 123)
One atom of each set of equivalent atoms:
Li (0.0000, 0.0000, 0.0000) x1  8 Ta 3.22, 4 Mo 3.31
Ta (0.0000, 0.5000, 0.5000) x2  2 Cr 2.34
Cr (0.5000, 0.5000, 0.5000) x1  2 Mo 2.22, 4 Ta 2.34
Mo (0.5000, 0.5000, 0.0000) x1  2 Cr 2.22

---

No. 6
Crystalline Li9CrN5 at its relaxed geometry, computed with PBE-GGA.

## Properties
Total moment   0.0022 μB/atom
ΔE_f (raw)   -0.60 eV per atom
Total energy   -5.1650 eV per atom

a = 5.8968 Å, b = 6.8051 Å, c = 7.6029 Å
α = 77.34°, β = 74.58°, γ = 73.62°
Last column: nearest neighbours and their distance in Å.
Space group P-1 (No. 2)
One atom of each set of equivalent atoms:
Li (0.0464, 0.4798, 0.1429) x2  4 N 1.98-2.20
Li (0.0475, 0.9243, 0.1434) x2  3 N 1.96-2.12
Li (0.1033, 0.3698, 0.4316) x2  3 N 1.96-2.13, 1 Li 2.15
Li (0.1283, 0.8547, 0.4366) x2  4 N 1.96-2.18
Li (0.2574, 0.2599, 0.7043) x2  2 N 1.98-2.13
Li (0.3279, 0.1622, 0.0316) x2  4 N 2.14-2.30
Li (0.3555, 0.6398, 0.0706) x2  4 N 2.03-2.13, 1 Li 2.27
Li (0.4137, 0.0564, 0.3554) x2  4 N 2.05-2.25
Li (0.4137, 0.5524, 0.3665) x2  4 N 1.99-2.20
Cr (0.2540, 0.7517, 0.7525) x2  4 N 1.76-1.80
N (0.0492, 0.1647, 0.2789) x2  1 Cr 1.78
N (0.0895, 0.6546, 0.3029) x2  8 Li 1.96-2.03
N (0.3003, 0.4937, 0.8725) x2  1 Cr 1.77
N (0.3129, 0.9203, 0.8778) x2  1 Cr 1.80
N (0.4562, 0.7589, 0.5350) x2  1 Cr 1.76

---

No. 7
Crystalline LiCrN2 at its relaxed geometry, computed with PBE-GGA.

## Properties
Total moment   0.2496 μB/atom
Energy above the most stable polymorph in this dataset   0.000 eV per atom
ΔE_f (raw)   -0.51 eV per atom
Total energy   -7.5609 eV per atom

a = 4.5931 Å, b = 4.5931 Å, c = 8.4337 Å
α = 90.00°, β = 90.00°, γ = 90.00°
Last column: nearest neighbours and their distance in Å.
Space group I-42d (No. 122)
One atom of each set of equivalent atoms:
Li (0.0000, 0.0000, 0.0000) x4  4 N 2.11
Cr (0.0000, 0.0000, 0.5000) x4  4 N 1.79
N (0.1895, 0.2500, 0.6250) x8  2 Cr 1.79

---

No. 8
Crystalline LiCrN2 at its relaxed geometry, computed with PBE-GGA.

## Properties
Total moment   0.3871 μB/atom
Energy above the most stable polymorph in this dataset   0.714 eV per atom
ΔE_f (raw)   0.20 eV per atom
Total energy   -6.8466 eV per atom

a = 4.9822 Å, b = 4.9822 Å, c = 4.9822 Å
α = 90.00°, β = 90.00°, γ = 90.00°
Last column: nearest neighbours and their distance in Å.
Space group Fm-3m (No. 225)
One atom of each set of equivalent atoms:
Li (0.0000, 0.0000, 0.0000) x4  8 N 2.16
Cr (0.0000, 0.0000, 0.5000) x4  8 N 2.16
N (0.2500, 0.2500, 0.2500) x8  4 Cr 2.16, 4 Li 2.16

---

No. 9
Crystalline LiCrN2 at its relaxed geometry, computed with PBE-GGA.

## Properties
Total moment   0.2489 μB/atom
Energy above the most stable polymorph in this dataset   0.002 eV per atom
ΔE_f (raw)   -0.51 eV per atom
Total energy   -7.5594 eV per atom

a = 5.4128 Å, b = 6.5254 Å, c = 5.1163 Å
α = 90.00°, β = 90.00°, γ = 90.00°
Last column: nearest neighbours and their distance in Å.
Space group Pna2_1 (No. 33)
One atom of each set of equivalent atoms:
Li (0.0840, 0.1229, 0.0000) x4  4 N 2.11-2.18
Cr (0.0733, 0.6254, 0.0105) x4  4 N 1.77-1.79
N (0.0507, 0.5954, 0.3560) x4  2 Cr 1.77-1.78
N (0.1078, 0.1561, 0.4233) x4  2 Cr 1.79

---

No. 10
Crystalline LiCr2N3 at its relaxed geometry, computed with PBE-GGA.

## Properties
Total moment   0.6457 μB/atom
Energy above the most stable polymorph in this dataset   0.000 eV per atom
ΔE_f (raw)   -0.49 eV per atom
Total energy   -8.1798 eV per atom

a = 9.6001 Å, b = 5.6065 Å, c = 5.0103 Å
α = 90.00°, β = 90.00°, γ = 90.00°
Last column: nearest neighbours and their distance in Å.
Space group Cmc2_1 (No. 36)
One atom of each set of equivalent atoms:
Li (0.0000, 0.1673, 0.0000) x4  4 N 2.11-2.19
Cr (0.1671, 0.3321, 0.4897) x8  4 N 1.80-1.88
N (0.0000, 0.2052, 0.5654) x4  2 Cr 1.80
N (0.1873, 0.3566, 0.1176) x8  3 Cr 1.87-1.88

---

No. 11
Crystalline LiCrN2 at its relaxed geometry, computed with PBE-GGA.

## Properties
Total moment   0.0002 μB/atom
Energy above the most stable polymorph in this dataset   0.159 eV per atom
ΔE_f (raw)   -0.36 eV per atom
Total energy   -7.4020 eV per atom

a = 2.7470 Å, b = 2.7470 Å, c = 15.7349 Å
α = 90.00°, β = 90.00°, γ = 120.00°
Last column: nearest neighbours and their distance in Å.
Space group R3m (No. 160, hexagonal axes)
One atom of each set of equivalent atoms:
Li (0.0000, 0.0000, 0.0000) x3  6 N 2.13-2.21
Cr (0.0000, 0.0000, 0.1704) x3  6 N 1.95-1.96
N (0.0000, 0.0000, 0.5762) x3  3 Cr 1.95, 3 Li 2.13
N (0.0000, 0.0000, 0.7640) x3  3 Cr 1.96

---

No. 12
Crystalline Li3Cr2N4 at its relaxed geometry, computed with PBE-GGA.

## Properties
Total moment   0.0000 μB/atom
ΔE_f (raw)   -0.56 eV per atom
Total energy   -7.0341 eV per atom

a = 10.1586 Å, b = 3.2086 Å, c = 7.7252 Å
α = 90.00°, β = 127.95°, γ = 90.00°
Last column: nearest neighbours and their distance in Å.
Space group C2/m (No. 12)
One atom of each set of equivalent atoms:
Li (0.0000, 0.0000, 0.0000) x2  6 N 2.24-2.29
Li (0.1455, 0.5000, 0.8196) x4  3 N 2.11-2.17
Cr (0.1931, 0.5000, 0.3466) x4  1 N 1.66
N (0.1029, 0.0000, 0.3532) x4  3 Cr 1.86-1.94
N (0.2032, 0.5000, 0.1404) x4  1 Cr 1.66

---

No. 13
Crystalline LiCrN2 at its relaxed geometry, computed with PBE-GGA.

## Properties
Total moment   0.2517 μB/atom
Energy above the most stable polymorph in this dataset   0.382 eV per atom
ΔE_f (raw)   -0.13 eV per atom
Total energy   -7.1791 eV per atom

a = 2.8443 Å, b = 2.8443 Å, c = 17.5669 Å
α = 90.00°, β = 90.00°, γ = 120.00°
Last column: nearest neighbours and their distance in Å.
Space group R-3m (No. 166, hexagonal axes)
One atom of each set of equivalent atoms:
Li (0.0000, 0.0000, 0.0000) x3  2 N 1.85
Cr (0.0000, 0.0000, 0.5000) x3  6 N 1.96
N (0.0000, 0.0000, 0.1055) x6  1 Li 1.85, 3 Cr 1.96

---

No. 14
Crystalline LiCrN at its relaxed geometry, computed with PBE-GGA.

## Properties
Total moment   0.0020 μB/atom
Energy above the most stable polymorph in this dataset   0.000 eV per atom
ΔE_f (raw)   -0.33 eV per atom
Total energy   -6.9530 eV per atom

a = 3.2287 Å, b = 3.2287 Å, c = 5.4731 Å
α = 90.00°, β = 90.00°, γ = 90.00°
Last column: nearest neighbours and their distance in Å.
Space group P4/nmm (No. 129, origin choice 2)
One atom of each set of equivalent atoms:
Li (0.2500, 0.2500, 0.1111) x2  1 N 2.06
Cr (0.2500, 0.7500, 0.5000) x2  4 N 2.07, 4 Cr 2.28
N (0.2500, 0.2500, 0.7355) x2  1 Li 2.06, 4 Cr 2.07

---

No. 15
Crystalline LiCrN at its relaxed geometry, computed with PBE-GGA.

## Properties
Total moment   0.2484 μB/atom
Energy above the most stable polymorph in this dataset   0.028 eV per atom
ΔE_f (raw)   -0.30 eV per atom
Total energy   -6.9254 eV per atom

a = 6.9476 Å, b = 3.1345 Å, c = 5.0303 Å
α = 90.00°, β = 90.00°, γ = 90.00°
Last column: nearest neighbours and their distance in Å.
Space group Pnma (No. 62)
One atom of each set of equivalent atoms:
Li (0.1037, 0.2500, 0.0981) x4  3 N 2.02-2.12
Cr (0.1263, 0.2500, 0.5795) x4  4 N 1.98-2.02
N (0.1537, 0.7500, 0.3410) x4  4 Cr 1.98-2.02, 3 Li 2.02-2.12

---

No. 16
Crystalline Li3CrN2 at its relaxed geometry, computed with PBE-GGA.

## Properties
Total moment   0.0002 μB/atom
ΔE_f (raw)   -0.35 eV per atom
Total energy   -5.6848 eV per atom

a = 7.0776 Å, b = 7.0776 Å, c = 10.9458 Å
α = 90.00°, β = 90.00°, γ = 90.00°
Last column: nearest neighbours and their distance in Å.
Space group I4_1/amd (No. 141, origin choice 2)
One atom of each set of equivalent atoms:
Li (0.0000, 0.2500, 0.2520) x8  4 N 2.25-2.39
Li (0.2336, 0.0164, 0.8750) x16  2 N 1.96
Cr (0.0000, 0.2500, 0.0030) x8  2 N 1.67
N (0.0000, 0.0447, 0.6710) x16  1 Cr 1.67

---

No. 17
Crystalline Li5Cr2N5 at its relaxed geometry, computed with PBE-GGA.

## Properties
Total moment   0.0000 μB/atom
ΔE_f (raw)   -0.59 eV per atom
Total energy   -6.4632 eV per atom

a = 9.7958 Å, b = 3.0031 Å, c = 8.2161 Å
α = 90.00°, β = 107.65°, γ = 90.00°
Last column: nearest neighbours and their distance in Å.
Space group C2/m (No. 12)
One atom of each set of equivalent atoms:
Li (0.0000, 0.0000, 0.0000) x2  6 N 2.20-2.39
Li (0.1585, 0.0000, 0.5631) x4  3 N 2.11-2.20
Li (0.2475, 0.5000, 0.1254) x4  3 N 2.07-2.10
Cr (0.0375, 0.5000, 0.2960) x4  4 N 1.68-1.85
N (0.0000, 0.5000, 0.5000) x2  2 Cr 1.82
N (0.1042, 0.5000, 0.8811) x4  1 Cr 1.68
N (0.1464, 0.0000, 0.2911) x4  2 Cr 1.85

---

No. 18
Crystalline LiCrN at its relaxed geometry, computed with PBE-GGA.

## Properties
Total moment   0.0062 μB/atom
Energy above the most stable polymorph in this dataset   0.113 eV per atom
ΔE_f (raw)   -0.22 eV per atom
Total energy   -6.8402 eV per atom

a = 2.6682 Å, b = 2.6682 Å, c = 9.3888 Å
α = 90.00°, β = 90.00°, γ = 90.00°
Last column: nearest neighbours and their distance in Å.
Space group I4mm (No. 107)
One atom of each set of equivalent atoms:
Li (0.0000, 0.0000, 0.0000) x2  1 N 2.38, 4 Li 2.67, 1 Cr 2.67
Cr (0.0000, 0.0000, 0.2843) x2  4 N 1.92
N (0.0000, 0.0000, 0.7460) x2  4 Cr 1.92

---

No. 19
Crystalline LiCrN3 at its relaxed geometry, computed with PBE-GGA.

## Properties
Total moment   0.0000 μB/atom
ΔE_f (raw)   1.96 eV per atom
Total energy   -5.3415 eV per atom

a = 3.4153 Å, b = 3.4153 Å, c = 3.4153 Å
α = 90.00°, β = 90.00°, γ = 90.00°
Last column: nearest neighbours and their distance in Å.
Space group Pm-3m (No. 221)
One atom of each set of equivalent atoms:
Li (0.0000, 0.0000, 0.0000) x1  6 N 1.71
Cr (0.5000, 0.5000, 0.5000) x1  12 N 2.42
N (0.0000, 0.0000, 0.5000) x3  2 Li 1.71

---

No. 20
Crystalline LiCr2N3 at its relaxed geometry, computed with PBE-GGA.

## Properties
Total moment   0.0222 μB/atom
Energy above the most stable polymorph in this dataset   0.065 eV per atom
ΔE_f (raw)   -0.43 eV per atom
Total energy   -8.1151 eV per atom

a = 5.0174 Å, b = 2.7366 Å, c = 7.3912 Å
α = 90.00°, β = 99.38°, γ = 90.00°
Last column: nearest neighbours and their distance in Å.
Space group P2_1/m (No. 11)
One atom of each set of equivalent atoms:
Li (0.0395, 0.2500, 0.3535) x2  5 N 2.02-2.11
Cr (0.2087, 0.2500, 0.9880) x2  6 N 1.93-2.12
Cr (0.4851, 0.2500, 0.6714) x2  6 N 1.93-2.04
N (0.1501, 0.7500, 0.1612) x2  4 Cr 1.93-2.04, 2 Li 2.11
N (0.2894, 0.7500, 0.5202) x2  3 Cr 1.93-1.95, 3 Li 2.02-2.11
N (0.4016, 0.7500, 0.8516) x2  5 Cr 2.00-2.12